Entry from Alexandria via LeMat-Bulk: a relaxed Sc2MnCl crystal (PBE).

The structure belongs to space group P4/mmm (No. 123); the cell edges are 3.1655, 3.1655 and 7.3071 Å and the angles 90.00°, 90.00° and 90.00°. The inequivalent atoms are Sc at (0.0000, 0.0000, 0.2064), Mn at (0.5000, 0.5000, 0.0000) and Cl at (0.5000, 0.5000, 0.5000).

The formation energy (no corrections) comes out at -0.51 eV/atom. The density of states at the Fermi level is 2.37 states/eV per cell. The energy relative to the lowest polymorph listed for this composition is 78 meV/atom. For the total energy, the calculation gives -6.4346 eV per atom. The density is 4.1 g cm⁻³. For the volume, the calculation gives 18.3 Å³ per atom.